(1)
## LiLaFeMo (PBE-GGA)

Data for an optimized crystal structure of LiLaFeMo.

a b c (Å): 4.656 4.656 4.656
angles (deg): 60.00 60.00 60.00
Sites, in units of the cell vectors:
1 Fe 0.250 0.250 0.250
2 La 0.500 0.500 0.500
3 Li 0.750 0.750 0.750
4 Mo 0.000 0.000 0.000

space-group type	F-43m, No. 216
calculated density	6.9	g/cm³
energy above the lowest structure with this stoichiometry	23	meV/atom

---

(2)
## LiLaFeMo (PBE-GGA)

Data for an optimized crystal structure of LiLaFeMo.

a b c (Å): 4.584 4.584 4.584
angles (deg): 60.00 60.00 60.00
Sites, in units of the cell vectors:
1 Fe 0.000 0.000 0.000
2 La 0.500 0.500 0.500
3 Li 0.750 0.750 0.750
4 Mo 0.250 0.250 0.250

space-group type	F-43m, No. 216
calculated density	7.3	g/cm³
energy above the lowest structure with this stoichiometry	0	meV/atom

---

(3)
## LiLaFeMo (PBE-GGA)

Data for an optimized crystal structure of LiLaFeMo.

a b c (Å): 4.579 4.579 4.579
angles (deg): 60.00 60.00 60.00
Sites, in units of the cell vectors:
1 Fe 0.500 0.500 0.500
2 La 0.250 0.250 0.250
3 Li 0.750 0.750 0.750
4 Mo 0.000 0.000 0.000

space-group type	F-43m, No. 216
calculated density	7.3	g/cm³
energy above the lowest structure with this stoichiometry	251	meV/atom

---

(4)
## LiLaFeSe3 (PBE-GGA)

Data for an optimized crystal structure of LiLaFeSe3.

a b c (Å): 4.125 6.546 11.548
angles (deg): 90.00 90.00 71.63
Sites, in units of the cell vectors:
1 Fe 0.524 0.952 0.250
2 Fe 0.476 0.048 0.750
3 La 0.000 0.000 0.000
4 La 0.000 0.000 0.500
5 Li 0.226 0.547 0.250
6 Li 0.774 0.453 0.750
7 Se 0.651 0.699 0.091
8 Se 0.915 0.171 0.250
9 Se 0.651 0.699 0.409
10 Se 0.349 0.301 0.591
11 Se 0.085 0.829 0.750
12 Se 0.349 0.301 0.909

space-group type	Cmcm, No. 63
calculated density	4.9	g/cm³
raw total energy	-5.372	eV per atom

---

(5)
## LaLuFe2Si2 (PBE-GGA)

Data for an optimized crystal structure of LaLuFe2Si2.

a b c (Å): 4.040 4.040 6.658
angles (deg): 90.00 90.00 90.00
Sites, in units of the cell vectors:
1 Fe 0.500 0.000 0.011
2 Fe 0.000 0.500 0.011
3 La 0.000 0.000 0.667
4 Lu 0.500 0.500 0.297
5 Si 0.000 0.000 0.177
6 Si 0.500 0.500 0.837

space-group type	P4mm, No. 99
calculated density	7.4	g/cm³
raw total energy	-6.760	eV per atom

---

(6)
## LaMgNbFe (PBE-GGA)

Data for an optimized crystal structure of LaMgNbFe.

a b c (Å): 4.835 4.835 4.835
angles (deg): 60.00 60.00 60.00
Sites, in units of the cell vectors:
1 Fe 0.250 0.250 0.250
2 La 0.500 0.500 0.500
3 Mg 0.750 0.750 0.750
4 Nb 0.000 0.000 0.000

space-group type	F-43m, No. 216
calculated density	6.5	g/cm³
energy above the lowest structure with this stoichiometry	0	meV/atom

---

(7)
## LaMgNbFe (PBE-GGA)

Data for an optimized crystal structure of LaMgNbFe.

a b c (Å): 4.874 4.874 4.874
angles (deg): 60.00 60.00 60.00
Sites, in units of the cell vectors:
1 Fe 0.500 0.500 0.500
2 La 0.250 0.250 0.250
3 Mg 0.750 0.750 0.750
4 Nb 0.000 0.000 0.000

space-group type	F-43m, No. 216
calculated density	6.3	g/cm³
energy above the lowest structure with this stoichiometry	133	meV/atom

---

(8)
## LaMgNbFe (PBE-GGA)

Data for an optimized crystal structure of LaMgNbFe.

a b c (Å): 4.815 4.815 4.815
angles (deg): 60.00 60.00 60.00
Sites, in units of the cell vectors:
1 Fe 0.000 0.000 0.000
2 La 0.500 0.500 0.500
3 Mg 0.750 0.750 0.750
4 Nb 0.250 0.250 0.250

space-group type	F-43m, No. 216
calculated density	6.6	g/cm³
energy above the lowest structure with this stoichiometry	25	meV/atom

---

(9)
## LaMgFeSb (PBE-GGA)

Data for an optimized crystal structure of LaMgFeSb.

a b c (Å): 4.919 4.919 4.919
angles (deg): 60.00 60.00 60.00
Sites, in units of the cell vectors:
1 Fe 0.250 0.250 0.250
2 La 0.500 0.500 0.500
3 Mg 0.750 0.750 0.750
4 Sb 0.000 0.000 0.000

space-group type	F-43m, No. 216
calculated density	6.7	g/cm³
energy above the lowest structure with this stoichiometry	5	meV/atom

---

(10)
## LaMgFeSb (PBE-GGA)

Data for an optimized crystal structure of LaMgFeSb.

a b c (Å): 5.136 5.136 5.136
angles (deg): 60.00 60.00 60.00
Sites, in units of the cell vectors:
1 Fe 0.500 0.500 0.500
2 La 0.250 0.250 0.250
3 Mg 0.750 0.750 0.750
4 Sb 0.000 0.000 0.000

space-group type	F-43m, No. 216
calculated density	5.9	g/cm³
energy above the lowest structure with this stoichiometry	0	meV/atom

---

(11)
## LaMgFeSb (PBE-GGA)

Data for an optimized crystal structure of LaMgFeSb.

a b c (Å): 5.095 5.095 5.095
angles (deg): 60.00 60.00 60.00
Sites, in units of the cell vectors:
1 Fe 0.000 0.000 0.000
2 La 0.500 0.500 0.500
3 Mg 0.750 0.750 0.750
4 Sb 0.250 0.250 0.250

space-group type	F-43m, No. 216
calculated density	6.0	g/cm³
energy above the lowest structure with this stoichiometry	58	meV/atom

---

(12)
## La2Fe3Mo2 (PBE-GGA)

Data for an optimized crystal structure of La2Fe3Mo2.

a b c (Å): 4.567 4.567 7.939
angles (deg): 73.28 73.28 60.00
Sites, in units of the cell vectors:
1 Fe 0.653 0.653 0.041
2 Fe 0.110 0.110 0.671
3 Fe 0.360 0.360 0.919
4 La 0.239 0.239 0.283
5 La 0.784 0.784 0.647
6 Mo 0.468 0.468 0.595
7 Mo 0.010 0.010 0.969

space-group type	R3m, No. 160
calculated density	7.8	g/cm³
formation energy from the elements	0.538	eV per atom